No. 1
DyScGaAu: relaxed, GGA-PBE.

The calculation puts the calculated volume at 21.51 A^3/atom. For the formation energy, the calculation gives -0.683 eV per atom.

The structure belongs to space group F-43m (No. 216); the cell edges are 7.008, 7.008 and 7.008 Å and the angles 90.00°, 90.00° and 90.00°. Symmetry generates all atoms from Dy at (0.000, 0.000, 0.000), Sc at (0.000, 0.000, 0.500), Ga at (0.250, 0.250, 0.750) and Au at (0.250, 0.250, 0.250).

No. 2
SmDyGa2Au2: relaxed, GGA-PBE.

The calculation puts the calculated volume at 21.66 A^3/atom. For the formation energy, the calculation gives -0.784 eV per atom.

The structure belongs to space group P-3m1 (No. 164); the cell edges are 4.5507, 4.5507 and 7.2451 Å and the angles 90.00°, 90.00° and 120.00°. Symmetry generates all atoms from Sm at (0.0000, 0.0000, 0.0000), Dy at (0.0000, 0.0000, 0.5000), Ga at (0.3333, 0.6667, 0.7404) and Au at (0.3333, 0.6667, 0.2632).

No. 3
DyGaSnAu: relaxed, GGA-PBE.

The calculation puts the calculated volume at 22.29 A^3/atom. For the formation energy, the calculation gives -0.439 eV per atom.

The structure belongs to space group F-43m (No. 216); the cell edges are 7.092, 7.092 and 7.092 Å and the angles 90.00°, 90.00° and 90.00°. Symmetry generates all atoms from Dy at (0.000, 0.000, 0.000), Ga at (0.250, 0.250, 0.250), Sn at (0.000, 0.000, 0.500) and Au at (0.250, 0.250, 0.750).

No. 4
SrDyGa2Au2: relaxed, GGA-PBE.

The calculation puts the calculated volume at 23.31 A^3/atom. For the formation energy, the calculation gives -0.745 eV per atom.

The structure belongs to space group P-3m1 (No. 164); the cell edges are 4.6260, 4.6260 and 7.5460 Å and the angles 90.00°, 90.00° and 120.00°. Symmetry generates all atoms from Sr at (0.0000, 0.0000, 0.0000), Dy at (0.0000, 0.0000, 0.5000), Ga at (0.3333, 0.6667, 0.7062) and Au at (0.3333, 0.6667, 0.2954).